Entry from the Alexandria database: a relaxed CaYMg6O8 crystal (PBE).

Results
energy relative to the elements, uncorrected = -2564 meV/atom
total DFT energy (no corrections) = -6.17 eV/atom
space-group type = P4/mmm, No. 123
ΔE to the lowest computed polymorph = 0.038 eV/atom
N(E_F) = 0.069 states/eV per atom
calculated volume = 11.61 A^3/atom
crystal system = tetragonal

Cell: 4.527 4.527 9.068 Å, 90.00 90.00 90.00°
Element x y z (fractional)
1 Ca 0.000 0.000 0.000
2 Y 0.000 0.000 0.500
3 Mg 0.000 0.500 0.239
4 Mg 0.000 0.500 0.761
5 Mg 0.500 0.000 0.239
6 Mg 0.500 0.000 0.761
7 Mg 0.500 0.500 0.000
8 Mg 0.500 0.500 0.500
9 O 0.000 0.000 0.253
10 O 0.000 0.000 0.747
11 O 0.000 0.500 0.000
12 O 0.000 0.500 0.500
13 O 0.500 0.000 0.000
14 O 0.500 0.000 0.500
15 O 0.500 0.500 0.245
16 O 0.500 0.500 0.755

---

Entry from the Alexandria database: a relaxed CaYMg6O8 crystal (PBE).

Results
energy relative to the elements, uncorrected = -2602 meV/atom
total DFT energy (no corrections) = -6.21 eV/atom
space-group type = P4/mmm, No. 123
ΔE to the lowest computed polymorph = 0.000 eV/atom
N(E_F) = 0.068 states/eV per atom
calculated volume = 11.40 A^3/atom
crystal system = tetragonal

Cell: 4.517 4.517 8.935 Å, 90.00 90.00 90.00°
Element x y z (fractional)
1 Ca 0.000 0.000 0.000
2 Y 0.500 0.500 0.000
3 Mg 0.000 0.000 0.500
4 Mg 0.000 0.500 0.270
5 Mg 0.000 0.500 0.730
6 Mg 0.500 0.000 0.270
7 Mg 0.500 0.000 0.730
8 Mg 0.500 0.500 0.500
9 O 0.000 0.000 0.267
10 O 0.000 0.000 0.733
11 O 0.000 0.500 0.000
12 O 0.000 0.500 0.500
13 O 0.500 0.000 0.000
14 O 0.500 0.000 0.500
15 O 0.500 0.500 0.262
16 O 0.500 0.500 0.738

---

Entry from the Alexandria database: a relaxed CaMg14ZnO16 crystal (PBE).

Results
energy relative to the elements, uncorrected = -2604 meV/atom
total DFT energy (no corrections) = -5.88 eV/atom
space-group type = P4/mmm, No. 123
N(E_F) = 0.000 states/eV per atom
calculated volume = 10.00 A^3/atom
crystal system = tetragonal

Cell: 8.601 8.601 4.326 Å, 90.00 90.00 90.00°
Element x y z (fractional)
1 Ca 0.000 0.000 0.000
2 Mg 0.000 0.256 0.500
3 Mg 0.000 0.500 0.000
4 Mg 0.000 0.744 0.500
5 Mg 0.251 0.500 0.500
6 Mg 0.253 0.253 0.000
7 Mg 0.253 0.747 0.000
8 Mg 0.256 0.000 0.500
9 Mg 0.500 0.000 0.000
10 Mg 0.500 0.251 0.500
11 Mg 0.500 0.749 0.500
12 Mg 0.744 0.000 0.500
13 Mg 0.747 0.253 0.000
14 Mg 0.747 0.747 0.000
15 Mg 0.749 0.500 0.500
16 Zn 0.500 0.500 0.000
17 O 0.000 0.000 0.500
18 O 0.000 0.263 0.000
19 O 0.000 0.500 0.500
20 O 0.000 0.737 0.000
21 O 0.249 0.500 0.000
22 O 0.251 0.251 0.500
23 O 0.251 0.749 0.500
24 O 0.263 0.000 0.000
25 O 0.500 0.000 0.500
26 O 0.500 0.249 0.000
27 O 0.500 0.500 0.500
28 O 0.500 0.751 0.000
29 O 0.737 0.000 0.000
30 O 0.749 0.251 0.500
31 O 0.749 0.749 0.500
32 O 0.751 0.500 0.000

---

Entry from the Alexandria database: a relaxed Ca2MgZnO crystal (PBE).

Results
energy relative to the elements, uncorrected = -1128 meV/atom
total DFT energy (no corrections) = -3.49 eV/atom
space-group type = P4/mmm, No. 123
N(E_F) = 0.602 states/eV per atom
calculated volume = 20.34 A^3/atom
crystal system = tetragonal

Cell: 4.880 4.880 4.270 Å, 90.00 90.00 90.00°
Element x y z (fractional)
1 Ca 0.000 0.500 0.000
2 Ca 0.500 0.000 0.000
3 Mg 0.000 0.000 0.500
4 Zn 0.500 0.500 0.500
5 O 0.000 0.000 0.000

---

Entry from the Alexandria database: a relaxed CaMg14ZnO16 crystal (PBE).

Results
energy relative to the elements, uncorrected = -2604 meV/atom
total DFT energy (no corrections) = -5.88 eV/atom
space-group type = Pmmm, No. 47
N(E_F) = 0.000 states/eV per atom
calculated volume = 10.01 A^3/atom
crystal system = orthorhombic

Cell: 4.329 8.581 8.620 Å, 90.00 90.00 90.00°
Element x y z (fractional)
1 Ca 0.000 0.000 0.000
2 Mg 0.000 0.000 0.500
3 Mg 0.000 0.254 0.254
4 Mg 0.000 0.254 0.746
5 Mg 0.000 0.500 0.500
6 Mg 0.000 0.746 0.254
7 Mg 0.000 0.746 0.746
8 Mg 0.500 0.000 0.256
9 Mg 0.500 0.000 0.744
10 Mg 0.500 0.251 0.500
11 Mg 0.500 0.256 0.000
12 Mg 0.500 0.500 0.251
13 Mg 0.500 0.500 0.749
14 Mg 0.500 0.744 0.000
15 Mg 0.500 0.749 0.500
16 Zn 0.000 0.500 0.000
17 O 0.000 0.000 0.263
18 O 0.000 0.000 0.737
19 O 0.000 0.252 0.500
20 O 0.000 0.262 0.000
21 O 0.000 0.500 0.258
22 O 0.000 0.500 0.742
23 O 0.000 0.738 0.000
24 O 0.000 0.748 0.500
25 O 0.500 0.000 0.000
26 O 0.500 0.000 0.500
27 O 0.500 0.250 0.250
28 O 0.500 0.250 0.750
29 O 0.500 0.500 0.000
30 O 0.500 0.500 0.500
31 O 0.500 0.750 0.250
32 O 0.500 0.750 0.750

---

Entry from the Alexandria database: a relaxed CaMgOs3 crystal (PBE).

Results
total DFT energy (no corrections) = -5.61 eV/atom
space-group type = Pm-3m, No. 221
formation enthalpy at 0 K = 1.850 eV/atom
ΔE to the lowest computed polymorph = 0.000 eV/atom
N(E_F) = 0.850 states/eV per atom
calculated volume = 19.64 A^3/atom
crystal system = cubic

Cell: 4.614 4.614 4.614 Å, 90.00 90.00 90.00°
Element x y z (fractional)
1 Ca 0.000 0.000 0.000
2 Mg 0.500 0.500 0.500
3 Os 0.000 0.500 0.500
4 Os 0.500 0.000 0.500
5 Os 0.500 0.500 0.000

---

Entry from the Alexandria database: a relaxed CaMgOs2 crystal (PBE).

Results
total DFT energy (no corrections) = -5.93 eV/atom
space-group type = P4/mmm, No. 123
formation enthalpy at 0 K = 0.584 eV/atom
N(E_F) = 1.085 states/eV per atom
calculated volume = 17.39 A^3/atom
crystal system = tetragonal

Cell: 3.931 3.931 4.502 Å, 90.00 90.00 90.00°
Element x y z (fractional)
1 Ca 0.000 0.000 0.000
2 Mg 0.500 0.500 0.000
3 Os 0.000 0.500 0.500
4 Os 0.500 0.000 0.500

---

Entry from the Alexandria database: a relaxed CaMg4Os crystal (PBE).

Results
total DFT energy (no corrections) = -2.89 eV/atom
space-group type = F-43m, No. 216
formation enthalpy at 0 K = 0.376 eV/atom
N(E_F) = 1.357 states/eV per atom
calculated volume = 20.71 A^3/atom
crystal system = cubic

Cell: 5.601 5.601 5.601 Å, 60.00 60.00 60.00°
Element x y z (fractional)
1 Ca 0.000 0.000 0.000
2 Mg 0.130 0.623 0.623
3 Mg 0.623 0.130 0.623
4 Mg 0.623 0.623 0.130
5 Mg 0.623 0.623 0.623
6 Os 0.250 0.250 0.250

---

Entry from the Alexandria database: a relaxed CaMgOs2 crystal (PBE).

Results
total DFT energy (no corrections) = -5.90 eV/atom
space-group type = I4/mmm, No. 139
formation enthalpy at 0 K = 0.617 eV/atom
N(E_F) = 1.580 states/eV per atom
calculated volume = 17.50 A^3/atom
crystal system = tetragonal

Cell: 5.273 5.273 5.273 Å, 135.92 135.92 64.10°
Element x y z (fractional)
1 Ca 0.000 0.000 0.000
2 Mg 0.500 0.500 0.000
3 Os 0.250 0.750 0.500
4 Os 0.750 0.250 0.500

---

Entry from the Alexandria database: a relaxed CaMgOs2 crystal (PBE).

Results
total DFT energy (no corrections) = -6.01 eV/atom
space-group type = P2/m, No. 10
formation enthalpy at 0 K = 0.503 eV/atom
N(E_F) = 1.224 states/eV per atom
calculated volume = 18.02 A^3/atom
crystal system = monoclinic

Cell: 2.770 4.642 5.661 Å, 90.00 97.99 90.00°
Element x y z (fractional)
1 Ca 0.000 0.000 0.000
2 Mg 0.500 0.000 0.500
3 Os 0.291 0.500 0.700
4 Os 0.709 0.500 0.300

---

Entry from the Alexandria database: a relaxed Ca3MgOs crystal (PBE).

Results
total DFT energy (no corrections) = -3.40 eV/atom
space-group type = Pm-3m, No. 221
formation enthalpy at 0 K = 0.366 eV/atom
ΔE to the lowest computed polymorph = 0.000 eV/atom
N(E_F) = 1.018 states/eV per atom
calculated volume = 33.65 A^3/atom
crystal system = cubic

Cell: 5.520 5.520 5.520 Å, 90.00 90.00 90.00°
Element x y z (fractional)
1 Ca 0.000 0.000 0.500
2 Ca 0.000 0.500 0.000
3 Ca 0.500 0.000 0.000
4 Mg 0.500 0.500 0.500
5 Os 0.000 0.000 0.000

---

Entry from the Alexandria database: a relaxed CaMgOs2 crystal (PBE).

Results
total DFT energy (no corrections) = -6.24 eV/atom
space-group type = Pm, No. 6
formation enthalpy at 0 K = 0.277 eV/atom
N(E_F) = 0.879 states/eV per atom
calculated volume = 20.25 A^3/atom
crystal system = monoclinic

Cell: 2.903 3.665 7.614 Å, 90.00 90.14 90.00°
Element x y z (fractional)
1 Ca 0.000 0.000 0.000
2 Mg 0.501 0.500 0.348
3 Os 0.499 0.500 0.718
4 Os 0.999 0.000 0.579

---

Entry from the Alexandria database: a relaxed CaMgOs2 crystal (PBE).

Results
total DFT energy (no corrections) = -5.54 eV/atom
space-group type = I-42d, No. 122
formation enthalpy at 0 K = 0.975 eV/atom
N(E_F) = 1.011 states/eV per atom
calculated volume = 19.18 A^3/atom
crystal system = tetragonal

Cell: 6.040 6.040 6.040 Å, 100.40 100.40 129.72°
Element x y z (fractional)
1 Ca 0.000 0.000 0.000
2 Ca 0.750 0.250 0.500
3 Mg 0.250 0.750 0.500
4 Mg 0.500 0.500 0.000
5 Os 0.153 0.625 0.028
6 Os 0.375 0.403 0.528
7 Os 0.597 0.125 0.972
8 Os 0.875 0.847 0.472

---

Entry from the Alexandria database: a relaxed CaMgOs2 crystal (PBE).

Results
total DFT energy (no corrections) = -6.06 eV/atom
space-group type = Pmmm, No. 47
formation enthalpy at 0 K = 0.458 eV/atom
N(E_F) = 0.945 states/eV per atom
calculated volume = 18.44 A^3/atom
crystal system = orthorhombic

Cell: 2.750 4.377 6.126 Å, 90.00 90.00 90.00°
Element x y z (fractional)
1 Ca 0.000 0.000 0.000
2 Mg 0.000 0.000 0.500
3 Os 0.500 0.500 0.303
4 Os 0.500 0.500 0.697

---

Entry from the Alexandria database: a relaxed Ca2MgOs crystal (PBE).

Results
total DFT energy (no corrections) = -3.88 eV/atom
space-group type = Pm, No. 6
formation enthalpy at 0 K = 0.322 eV/atom
N(E_F) = 0.336 states/eV per atom
calculated volume = 25.46 A^3/atom
crystal system = monoclinic

Cell: 4.013 4.557 5.915 Å, 90.00 109.71 90.00°
Element x y z (fractional)
1 Ca 0.000 0.000 0.000
2 Ca 0.290 0.500 0.582
3 Mg 0.588 0.500 0.177
4 Os 0.708 0.000 0.417

---

Entry from the Alexandria database: a relaxed CaMgOs2 crystal (PBE).

Results
total DFT energy (no corrections) = -5.88 eV/atom
space-group type = P4/mmm, No. 123
formation enthalpy at 0 K = 0.634 eV/atom
N(E_F) = 1.307 states/eV per atom
calculated volume = 18.77 A^3/atom
crystal system = tetragonal

Cell: 3.404 3.404 6.483 Å, 90.00 90.00 90.00°
Element x y z (fractional)
1 Ca 0.000 0.000 0.000
2 Mg 0.000 0.000 0.500
3 Os 0.500 0.500 0.312
4 Os 0.500 0.500 0.688

---

Entry from the Alexandria database: a relaxed Ca2MgOs crystal (PBE).

Results
total DFT energy (no corrections) = -3.79 eV/atom
space-group type = P4/mmm, No. 123
formation enthalpy at 0 K = 0.414 eV/atom
N(E_F) = 0.726 states/eV per atom
calculated volume = 23.03 A^3/atom
crystal system = tetragonal

Cell: 4.648 4.648 4.263 Å, 90.00 90.00 90.00°
Element x y z (fractional)
1 Ca 0.000 0.500 0.000
2 Ca 0.500 0.000 0.000
3 Mg 0.000 0.000 0.500
4 Os 0.500 0.500 0.500

---

Entry from the Alexandria database: a relaxed Ca2MgOs crystal (PBE).

Results
total DFT energy (no corrections) = -3.74 eV/atom
space-group type = R-3m, No. 166
formation enthalpy at 0 K = 0.470 eV/atom
N(E_F) = 0.698 states/eV per atom
calculated volume = 25.04 A^3/atom
crystal system = trigonal

Cell: 10.618 10.618 10.618 Å, 18.03 18.03 18.03°
Element x y z (fractional)
1 Ca 0.234 0.234 0.234
2 Ca 0.766 0.766 0.766
3 Mg 0.000 0.000 0.000
4 Os 0.500 0.500 0.500

---

Entry from the Alexandria database: a relaxed CaMgOs2 crystal (PBE).

Results
total DFT energy (no corrections) = -5.95 eV/atom
space-group type = Cmmm, No. 65
formation enthalpy at 0 K = 0.560 eV/atom
N(E_F) = 0.930 states/eV per atom
calculated volume = 17.40 A^3/atom
crystal system = orthorhombic

Cell: 5.366 5.366 2.638 Å, 90.00 90.00 113.67°
Element x y z (fractional)
1 Ca 0.000 0.000 0.000
2 Mg 0.500 0.500 0.000
3 Os 0.000 0.500 0.500
4 Os 0.500 0.000 0.500

---

Entry from the Alexandria database: a relaxed Ca2MgOs crystal (PBE).

Results
total DFT energy (no corrections) = -3.88 eV/atom
space-group type = Pmmm, No. 47
formation enthalpy at 0 K = 0.326 eV/atom
N(E_F) = 1.287 states/eV per atom
calculated volume = 25.23 A^3/atom
crystal system = orthorhombic

Cell: 3.412 3.425 8.636 Å, 90.00 90.00 90.00°
Element x y z (fractional)
1 Ca 0.000 0.000 0.196
2 Ca 0.000 0.000 0.804
3 Mg 0.500 0.500 0.500
4 Os 0.500 0.500 0.000